Crystalline AlAg2As at its relaxed geometry. Source: the Alexandria database, functional PBE-GGA.

Lattice parameters (Å, degrees): 4.8935 3.0091 5.6817 120.71 90.00 90.00
With the nearest neighbours (Å) after each atom.
Atoms (fractional coordinates):
As 0.5000 0.4715 0.7058  6 Ag 2.80-2.95, 4 Al 2.92-3.05, 2 As 3.01
Al 0.0000 0.7692 0.5391  6 Ag 2.83-2.94, 4 As 2.92-3.05, 2 Al 3.01
Ag 0.0000 0.7898 0.0428  4 Al 2.83-2.94, 2 As 2.95, 6 Ag 2.97-3.01
Ag 0.5000 0.4695 0.2124  4 As 2.80-2.91, 2 Al 2.92, 6 Ag 2.97-3.01

Computed properties:
- DFT formation energy (eV per atom) = 0.09
- ΔE to the lowest computed polymorph (meV per atom) = 39
- DOS(E_F) (states/eV per atom) = 0.302
- space group = Pm, No. 6